# RbHg3Au3, optimized geometry, DFT GGA-PBE
# raw total energy = -1.661 eV/atom
# DFT formation energy = 11.4 meV/atom
# M_tot = 0.00 μB/f.u.
# theoretical density = 8.6 g/cm3
data_RbHg3Au3
_cell_length_a 7.8905
_cell_length_b 7.8905
_cell_length_c 7.8905
_cell_angle_alpha 90.00
_cell_angle_beta 90.00
_cell_angle_gamma 90.00
_symmetry_space_group_name_H-M 'P m -3 n'
_symmetry_Int_Tables_number 223
_symmetry_space_group_name_Hall '-P 4n 2 3'
loop_
_atom_site_label
_atom_site_fract_x
_atom_site_fract_y
_atom_site_fract_z
Rb1 0.0000 0.0000 0.0000
Hg1 0.0000 0.2500 0.5000
Au1 0.0000 0.5000 0.2500

***

# In2Pd4Pt5, optimized geometry, DFT GGA-PBE
# raw total energy = -5.261 eV/atom
# DFT formation energy = -129.4 meV/atom
# E above lowest polymorph = 0 meV/atom
# M_tot = 0.00 μB/f.u.
# theoretical density = 14.1 g/cm3
data_In2Pd4Pt5
_cell_length_a 11.9921
_cell_length_b 5.2563
_cell_length_c 7.0296
_cell_angle_alpha 90.00
_cell_angle_beta 120.11
_cell_angle_gamma 90.00
_symmetry_space_group_name_H-M 'C 1 2/m 1'
_symmetry_Int_Tables_number 12
loop_
_symmetry_equiv_pos_as_xyz
'x,y,z'
'-x,-y,-z'
'-x,y,-z'
'x,-y,z'
'x+1/2,y+1/2,z'
'-x+1/2,-y+1/2,-z'
'-x+1/2,y+1/2,-z'
'x+1/2,-y+1/2,z'
loop_
_atom_site_label
_atom_site_fract_x
_atom_site_fract_y
_atom_site_fract_z
In1 0.1264 0.0000 0.2485
Pd1 0.1127 0.5000 0.5021
Pd2 0.2400 0.5000 0.2768
Pt1 0.0000 0.0000 0.5000
Pt2 0.1137 0.2556 0.8805

***

# Be2ClO2, optimized geometry, DFT GGA-PBE
# raw total energy = -5.616 eV/atom
# E above lowest polymorph = 0 meV/atom
# M_tot = 0.00 μB/f.u.
# raw formation energy = -1.77 eV per atom
# theoretical density = 2.0 g/cm3
data_Be2ClO2
_cell_length_a 2.9844
_cell_length_b 2.9844
_cell_length_c 16.3340
_cell_angle_alpha 90.00
_cell_angle_beta 90.00
_cell_angle_gamma 90.00
_symmetry_space_group_name_H-M 'I 4/m m m'
_symmetry_Int_Tables_number 139
_symmetry_space_group_name_Hall '-I 4 2'
loop_
_atom_site_label
_atom_site_fract_x
_atom_site_fract_y
_atom_site_fract_z
Be1 0.0000 0.5000 0.2500
Cl1 0.0000 0.0000 0.0000
O1 0.0000 0.0000 0.2911

***

# Y12Ga5Rh3, optimized geometry, DFT GGA-PBE
# raw total energy = -5.785 eV/atom
# DFT formation energy = -46.7 meV/atom
# M_tot = 0.00 μB/f.u.
# theoretical density = 4.9 g/cm3
data_Y12Ga5Rh3
_cell_length_a 16.7510
_cell_length_b 16.7510
_cell_length_c 16.7510
_cell_angle_alpha 90.00
_cell_angle_beta 90.00
_cell_angle_gamma 90.00
_symmetry_space_group_name_H-M 'I a -3 d'
_symmetry_Int_Tables_number 230
_symmetry_space_group_name_Hall '-I 4bd 2c 3'
loop_
_atom_site_label
_atom_site_fract_x
_atom_site_fract_y
_atom_site_fract_z
Y1 0.0203 0.0783 0.6495
Ga1 0.0000 0.0000 0.0000
Ga2 0.0000 0.2500 0.3750
Rh1 0.0000 0.2500 0.1250

***

# NaPrHg3, optimized geometry, DFT GGA-PBE
# raw total energy = -1.610 eV/atom
# DFT formation energy = -208.8 meV/atom
# M_tot = 0.00 μB/f.u.
# theoretical density = 9.0 g/cm3
data_NaPrHg3
_cell_length_a 19.2442
_cell_length_b 5.5995
_cell_length_c 5.4656
_cell_angle_alpha 90.00
_cell_angle_beta 106.42
_cell_angle_gamma 90.00
_symmetry_space_group_name_H-M 'C 1 2/m 1'
_symmetry_Int_Tables_number 12
loop_
_symmetry_equiv_pos_as_xyz
'x,y,z'
'-x,-y,-z'
'-x,y,-z'
'x,-y,z'
'x+1/2,y+1/2,z'
'-x+1/2,-y+1/2,-z'
'-x+1/2,y+1/2,-z'
'x+1/2,-y+1/2,z'
loop_
_atom_site_label
_atom_site_fract_x
_atom_site_fract_y
_atom_site_fract_z
Na1 0.1258 0.0000 0.3755
Pr1 0.1124 0.5000 0.8630
Hg1 0.0320 0.0000 0.7818
Hg2 0.1994 0.5000 0.4496
Hg3 0.2073 0.0000 0.9566

***

# AcCd2Pd4Pb, optimized geometry, DFT GGA-PBE
# raw total energy = -4.213 eV/atom
# DFT formation energy = -410.9 meV/atom
# M_tot = 0.00 μB/f.u.
# theoretical density = 10.7 g/cm3
data_AcCd2Pd4Pb
_cell_length_a 4.9333
_cell_length_b 4.9333
_cell_length_c 23.8567
_cell_angle_alpha 90.00
_cell_angle_beta 90.00
_cell_angle_gamma 120.00
_symmetry_space_group_name_H-M 'R -3 m'
_symmetry_Int_Tables_number 166
_symmetry_space_group_name_Hall '-R 3 2"'
loop_
_atom_site_label
_atom_site_fract_x
_atom_site_fract_y
_atom_site_fract_z
Ac1 0.0000 0.0000 0.0000
Cd1 0.0000 0.0000 0.2488
Pd1 0.0000 0.0000 0.1279
Pd2 0.0000 0.0000 0.3842
Pb1 0.0000 0.0000 0.5000

***

# TaNb3Pb, optimized geometry, DFT GGA-PBE
# raw total energy = -7.892 eV/atom
# DFT formation energy = 1262.5 meV/atom
# E above lowest polymorph = 0 meV/atom
# M_tot = 0.00 μB/f.u.
# theoretical density = 9.2 g/cm3
data_TaNb3Pb
_cell_length_a 4.9411
_cell_length_b 4.9411
_cell_length_c 4.9411
_cell_angle_alpha 90.00
_cell_angle_beta 90.00
_cell_angle_gamma 90.00
_symmetry_space_group_name_H-M 'P m -3 m'
_symmetry_Int_Tables_number 221
_symmetry_space_group_name_Hall '-P 4 2 3'
loop_
_atom_site_label
_atom_site_fract_x
_atom_site_fract_y
_atom_site_fract_z
Ta1 0.0000 0.0000 0.0000
Nb1 0.0000 0.0000 0.5000
Pb1 0.5000 0.5000 0.5000

***

# Li3SmSc2Se6, optimized geometry, DFT GGA-PBE
# raw total energy = -5.283 eV/atom
# M_tot = 0.00 μB/f.u.
# raw formation energy = -1.61 eV per atom
# theoretical density = 4.6 g/cm3
data_Li3SmSc2Se6
_cell_length_a 6.8702
_cell_length_b 11.9046
_cell_length_c 6.8471
_cell_angle_alpha 90.00
_cell_angle_beta 109.62
_cell_angle_gamma 90.00
_symmetry_space_group_name_H-M 'C 1 2/m 1'
_symmetry_Int_Tables_number 12
loop_
_symmetry_equiv_pos_as_xyz
'x,y,z'
'-x,-y,-z'
'-x,y,-z'
'x,-y,z'
'x+1/2,y+1/2,z'
'-x+1/2,-y+1/2,-z'
'-x+1/2,y+1/2,-z'
'x+1/2,-y+1/2,z'
loop_
_atom_site_label
_atom_site_fract_x
_atom_site_fract_y
_atom_site_fract_z
Li1 0.0000 0.0000 0.0000
Li2 0.0000 0.3344 0.0000
Sm1 0.0000 0.5000 0.5000
Sc1 0.0000 0.1670 0.5000
Se1 0.2321 0.0000 0.7488
Se2 0.2420 0.1755 0.2535